# 1
VASP calculation (GGA-PBE) on Ga2Cu after structural relaxation.

Properties
**Raw total energy**: -39.03 eV for the cell shown
**Symmetry**: Pnma (62)
**Crystal system**: orthorhombic

Structure (POSCAR):
```
Ga2Cu
1.0
4.8899 0.0000 0.0000
0.0000 3.9150 0.0000
0.0000 0.0000 10.2770
Ga Cu
8 4
direct
0.1268 0.2500 0.1040
0.1388 0.7500 0.3091
0.3612 0.2500 0.8091
0.3732 0.7500 0.6040
0.6268 0.2500 0.3960
0.6388 0.7500 0.1909
0.8612 0.2500 0.6909
0.8732 0.7500 0.8960
0.1397 0.2500 0.4673
0.3603 0.7500 0.9673
0.6397 0.2500 0.0327
0.8603 0.7500 0.5327
```

---

# 2
VASP calculation (GGA-PBE) on Ga2Cu after structural relaxation.

Properties
**Raw total energy**: -17.56 eV for the cell shown
**Symmetry**: Fd-3m (227)
**Crystal system**: cubic

Structure (POSCAR):
```
Ga2Cu
1.0
0.0000 3.6831 3.6831
3.6831 0.0000 3.6831
3.6831 3.6831 0.0000
Ga Cu
4 2
direct
0.0000 0.0000 0.0000
0.0000 0.0000 0.5000
0.0000 0.5000 0.0000
0.5000 0.0000 0.0000
0.3750 0.3750 0.3750
0.6250 0.6250 0.6250
```

---

# 3
VASP calculation (GGA-PBE) on GaCu8 after structural relaxation.

Properties
**Raw total energy**: -64.09 eV for the cell shown
**Symmetry**: C2/m (12)
**Crystal system**: monoclinic

Structure (POSCAR):
```
GaCu8
1.0
4.0307 -1.7710 0.0000
4.0307 1.7710 0.0000
-0.1492 0.0000 24.7503
Ga Cu
2 16
direct
0.0539 0.0539 0.2172
0.9461 0.9461 0.7828
0.0528 0.0528 0.5497
0.1516 0.1516 0.3189
0.1521 0.1521 0.6491
0.2456 0.2456 0.7503
0.2467 0.2467 0.4179
0.3515 0.3515 0.5167
0.4508 0.4508 0.2844
0.4535 0.4535 0.6160
0.5465 0.5465 0.3840
0.5492 0.5492 0.7156
0.6485 0.6485 0.4833
0.7533 0.7533 0.5821
0.7544 0.7544 0.2497
0.8479 0.8479 0.3509
0.8484 0.8484 0.6811
0.9472 0.9472 0.4503
```

---

# 4
VASP calculation (GGA-PBE) on GaCu124 after structural relaxation.

Properties
**Raw total energy**: -464.59 eV for the cell shown
**Symmetry**: Fm-3m (225)
**Crystal system**: cubic

Structure (POSCAR):
```
GaCu124
1.0
0.0000 9.0475 9.0475
9.0475 0.0000 9.0475
9.0475 9.0475 0.0000
Ga Cu
1 124
direct
0.0000 0.0000 0.0000
0.0000 0.0000 0.2018
0.0000 0.0000 0.4002
0.0000 0.0000 0.5998
0.0000 0.0000 0.7982
0.0000 0.2001 0.2001
0.0000 0.2000 0.4000
0.0000 0.2001 0.5998
0.0000 0.2018 0.0000
0.0000 0.2018 0.7982
0.0000 0.4002 0.0000
0.0000 0.4000 0.2000
0.0000 0.4000 0.4000
0.0000 0.4002 0.5998
0.0000 0.4002 0.7999
0.0000 0.5998 0.0000
0.0000 0.5998 0.2001
0.0000 0.5998 0.4002
0.0000 0.6000 0.6000
0.0000 0.6000 0.8000
0.0000 0.7982 0.0000
0.0000 0.7982 0.2018
0.0000 0.7999 0.4002
0.0000 0.8000 0.6000
0.0000 0.7999 0.7999
0.2001 0.0000 0.2001
0.2000 0.0000 0.4000
0.2001 0.0000 0.5998
0.2001 0.2001 0.0000
0.2001 0.2001 0.2001
0.2001 0.2001 0.3998
0.2001 0.2001 0.5998
0.2000 0.4000 0.0000
0.2001 0.3998 0.2001
0.2000 0.4000 0.4000
0.2000 0.4001 0.5999
0.2000 0.4001 0.8000
0.2001 0.5998 0.0000
0.2001 0.5998 0.2001
0.2000 0.5999 0.4001
0.2000 0.6000 0.6000
0.2000 0.5999 0.8000
0.2000 0.8000 0.4001
0.2000 0.8000 0.5999
0.2006 0.2006 0.7994
0.2006 0.7994 0.2006
0.2006 0.7994 0.7994
0.2018 0.0000 0.0000
0.2018 0.0000 0.7982
0.2018 0.7982 0.0000
0.4002 0.0000 0.0000
0.4000 0.0000 0.2000
0.4000 0.0000 0.4000
0.4002 0.0000 0.5998
0.4002 0.0000 0.7999
0.4000 0.2000 0.0000
0.3998 0.2001 0.2001
0.4000 0.2000 0.4000
0.4001 0.2000 0.5999
0.4001 0.2000 0.8000
0.4000 0.4000 0.0000
0.4000 0.4000 0.2000
0.4000 0.4000 0.4000
0.4000 0.4000 0.6000
0.4000 0.4000 0.8000
0.4002 0.5998 0.0000
0.4001 0.5999 0.2000
0.4000 0.6000 0.4000
0.4000 0.6000 0.6000
0.4001 0.5999 0.8000
0.4002 0.7999 0.0000
0.4001 0.8000 0.2000
0.4000 0.8000 0.4000
0.4001 0.8000 0.5999
0.4002 0.7999 0.7999
0.5998 0.0000 0.0000
0.5998 0.0000 0.2001
0.5998 0.0000 0.4002
0.6000 0.0000 0.6000
0.6000 0.0000 0.8000
0.5998 0.2001 0.0000
0.5998 0.2001 0.2001
0.5999 0.2000 0.4001
0.6000 0.2000 0.6000
0.5999 0.2000 0.8000
0.5998 0.4002 0.0000
0.5999 0.4001 0.2000
0.6000 0.4000 0.4000
0.6000 0.4000 0.6000
0.5999 0.4001 0.8000
0.6000 0.6000 0.0000
0.6000 0.6000 0.2000
0.6000 0.6000 0.4000
0.6000 0.6000 0.6000
0.6000 0.6000 0.8000
0.6000 0.8000 0.0000
0.5999 0.8000 0.2000
0.5999 0.8000 0.4001
0.6000 0.8000 0.6000
0.6002 0.7999 0.7999
0.7982 0.0000 0.0000
0.7982 0.0000 0.2018
0.7982 0.2018 0.0000
0.7994 0.2006 0.2006
0.7994 0.2006 0.7994
0.7994 0.7994 0.2006
0.7999 0.0000 0.4002
0.8000 0.0000 0.6000
0.7999 0.0000 0.7999
0.8000 0.2000 0.4001
0.8000 0.2000 0.5999
0.7999 0.4002 0.0000
0.8000 0.4001 0.2000
0.8000 0.4000 0.4000
0.8000 0.4001 0.5999
0.7999 0.4002 0.7999
0.8000 0.6000 0.0000
0.8000 0.5999 0.2000
0.8000 0.5999 0.4001
0.8000 0.6000 0.6000
0.7999 0.6002 0.7999
0.7999 0.7999 0.0000
0.7999 0.7999 0.4002
0.7999 0.7999 0.6002
0.7999 0.7999 0.7999
```

---

# 5
VASP calculation (GGA-PBE) on Ga4Cu9 after structural relaxation.

Properties
**Raw total energy**: -188.17 eV for the cell shown
**Symmetry**: P-43m (215)
**Crystal system**: cubic

Structure (POSCAR):
```
Ga4Cu9
1.0
8.7521 0.0000 0.0000
0.0000 8.7521 0.0000
0.0000 0.0000 8.7521
Ga Cu
16 36
direct
0.0343 0.3092 0.3092
0.0343 0.6908 0.6908
0.3092 0.0343 0.3092
0.3092 0.3092 0.0343
0.3092 0.6908 0.9657
0.3092 0.9657 0.6908
0.3788 0.3788 0.6212
0.3788 0.6212 0.3788
0.6212 0.3788 0.3788
0.6212 0.6212 0.6212
0.6908 0.0343 0.6908
0.6908 0.3092 0.9657
0.6908 0.6908 0.0343
0.6908 0.9657 0.3092
0.9657 0.3092 0.6908
0.9657 0.6908 0.3092
0.0000 0.0000 0.3566
0.0000 0.0000 0.6434
0.0000 0.3566 0.0000
0.0000 0.6434 0.0000
0.1048 0.1048 0.1048
0.1048 0.8952 0.8952
0.1437 0.5000 0.5000
0.1732 0.1732 0.8268
0.1732 0.8268 0.1732
0.1846 0.1846 0.5318
0.1846 0.4682 0.8154
0.1846 0.5318 0.1846
0.1846 0.8154 0.4682
0.3285 0.3285 0.3285
0.3285 0.6715 0.6715
0.3566 0.0000 0.0000
0.4682 0.1846 0.8154
0.4682 0.8154 0.1846
0.5000 0.1437 0.5000
0.5000 0.5000 0.1437
0.5000 0.5000 0.8563
0.5000 0.8563 0.5000
0.5318 0.1846 0.1846
0.5318 0.8154 0.8154
0.6434 0.0000 0.0000
0.6715 0.3285 0.6715
0.6715 0.6715 0.3285
0.8154 0.1846 0.4682
0.8154 0.4682 0.1846
0.8154 0.5318 0.8154
0.8154 0.8154 0.5318
0.8268 0.1732 0.1732
0.8268 0.8268 0.8268
0.8563 0.5000 0.5000
0.8952 0.1048 0.8952
0.8952 0.8952 0.1048
```

---

# 6
VASP calculation (GGA-PBE) on Ga9Cu2 after structural relaxation.

Properties
**Raw total energy**: -67.63 eV for the cell shown
**Symmetry**: I-43m (217)
**Crystal system**: cubic

Structure (POSCAR):
```
Ga9Cu2
1.0
-4.6008 4.6008 4.6008
4.6008 -4.6008 4.6008
4.6008 4.6008 -4.6008
Ga Cu
18 4
direct
0.0000 0.2349 0.2349
0.0000 0.3568 0.6821
0.0000 0.6821 0.3568
0.0000 0.7651 0.7651
0.2349 0.0000 0.2349
0.2349 0.2349 0.0000
0.3179 0.3179 0.6747
0.3179 0.6747 0.3179
0.3253 0.6432 0.6432
0.3568 0.0000 0.6821
0.3568 0.6821 0.0000
0.6432 0.3253 0.6432
0.6432 0.6432 0.3253
0.6747 0.3179 0.3179
0.6821 0.0000 0.3568
0.6821 0.3568 0.0000
0.7651 0.0000 0.7651
0.7651 0.7651 0.0000
0.0000 0.0000 0.5955
0.0000 0.5955 0.0000
0.4045 0.4045 0.4045
0.5955 0.0000 0.0000
```

---

# 7
VASP calculation (GGA-PBE) on GaCu7 after structural relaxation.

Properties
**Raw total energy**: -57.48 eV for the cell shown
**Symmetry**: P4/nmm (129)
**Crystal system**: tetragonal

Structure (POSCAR):
```
GaCu7
1.0
2.5668 0.0000 0.0000
0.0000 2.5668 0.0000
0.0000 0.0000 42.0884
Ga Cu
2 14
direct
0.2500 0.2500 0.1758
0.7500 0.7500 0.8242
0.2500 0.2500 0.2674
0.2500 0.2500 0.3518
0.2500 0.2500 0.4364
0.2500 0.2500 0.5212
0.2500 0.2500 0.6060
0.2500 0.2500 0.6903
0.2500 0.2500 0.7755
0.7500 0.7500 0.2245
0.7500 0.7500 0.3097
0.7500 0.7500 0.3940
0.7500 0.7500 0.4788
0.7500 0.7500 0.5636
0.7500 0.7500 0.6482
0.7500 0.7500 0.7326
```

---

# 8
VASP calculation (GGA-PBE) on GdGa3Cu after structural relaxation.

Properties
**M_tot**: 0.00 μB per cell
**Raw total energy**: -19.93 eV for the cell shown
**Symmetry**: I4mm (107)
**Crystal system**: tetragonal

Structure (POSCAR):
```
GdGa3Cu
1.0
-2.0683 2.0683 5.2424
2.0683 -2.0683 5.2424
2.0683 2.0683 -5.2424
Gd Ga Cu
1 3 1
direct
0.0000 0.0000 0.0000
0.2505 0.7505 0.5000
0.4064 0.4064 0.0000
0.7505 0.2505 0.5000
0.6292 0.6292 0.0000
```